1.
The following is a PBE calculation of TaReNi after structural relaxation, from Alexandria.

Computed properties:
Offset from the most stable computed form ... 23 meV per atom
Mass density ... 16.09 g/cm3
Energy relative to the elements ... -0.01 eV per atom

Cell: 2.7048 2.7048 12.0170 Å, 90.00 90.00 90.00°
Closest atoms and distances in Å follow each position.
Space group I4mm (No. 107)
One atom of each set of equivalent atoms:
Ta1 0.0000 0.0000 0.0000 x2  4 Ta 2.70, 4 Ni 2.75, 4 Re 2.98
Re1 0.0000 0.0000 0.3103 x2  4 Ni 2.60, 4 Re 2.70
Ni1 0.0000 0.0000 0.6641 x2  4 Re 2.60, 4 Ni 2.70, 4 Ta 2.75

***

2.
The following is a PBE calculation of Np2CuSi3Ir4 after structural relaxation, from Alexandria.

Computed properties:
Mass density ... 13.65 g/cm3
ΔE_f (raw) ... -0.596 eV/atom

Cell: 4.0614 4.0614 10.2590 Å, 90.00 90.00 90.00°
Closest atoms and distances in Å follow each position.
Space group P-4m2 (No. 115)
One atom of each set of equivalent atoms:
Np1 0.0000 0.5000 0.2408 x2  8 Ir 3.04-3.35, 6 Si 3.18-3.20, 2 Cu 3.20
Cu1 0.5000 0.5000 0.0000 x1  4 Ir 2.51
Si1 0.0000 0.0000 0.0000 x1  4 Ir 2.51
Si2 0.0000 0.5000 0.6267 x2  5 Ir 2.36-2.41
Ir1 0.0000 0.0000 0.5000 x1  4 Si 2.41
Ir2 0.0000 0.5000 0.8566 x2  3 Si 2.36-2.51, 2 Cu 2.51
Ir3 0.5000 0.5000 0.5000 x1  4 Si 2.41

***

Calculated total energy in eV/atom, matching the order above: -10.038, -8.765